A geometry-optimized PaBePt3 structure, computed with GGA-PBE.

Cell: 3.8479 5.6646 7.9304 Å, 90.00 90.00 90.00°
With the nearest neighbours (Å) after each atom.
Atoms (fractional coordinates):
Pa 0.2500 0.2500 0.1363  8 Pt 2.83-2.97
Pa 0.7500 0.7500 0.8637  8 Pt 2.83-2.97
Be 0.2500 0.7500 0.4199  7 Pt 2.28-2.43
Be 0.7500 0.2500 0.5801  7 Pt 2.28-2.43
Pt 0.2500 0.0033 0.6430  3 Be 2.28-2.43
Pt 0.2500 0.4967 0.6430  3 Be 2.28-2.43
Pt 0.2500 0.7500 0.1262  1 Be 2.33
Pt 0.7500 0.2500 0.8738  1 Be 2.33
Pt 0.7500 0.5033 0.3570  3 Be 2.28-2.43
Pt 0.7500 0.9967 0.3570  3 Be 2.28-2.43

Values from the calculation:
- Energy relative to the lowest polymorph listed for this composition: 27.3 kJ/mol of formula units
- Energy relative to the elements: -82 kJ/mol of atoms
- SG: Pmmn, No. 59

***

A geometry-optimized Pa2Be2Pt3 structure, computed with GGA-PBE.

Cell: 9.3776 9.3776 6.9264 Å, 90.00 90.00 155.86°
With the nearest neighbours (Å) after each atom.
Atoms (fractional coordinates):
Pa 0.0664 0.9336 0.7500  5 Pt 2.83-2.90
Pa 0.1599 0.8401 0.2500  6 Pt 2.89-2.91, 6 Be 2.93-3.00
Pa 0.8401 0.1599 0.7500  6 Pt 2.89-2.91, 6 Be 2.93-3.00
Pa 0.9336 0.0664 0.2500  5 Pt 2.83-2.90
Be 0.3032 0.6968 0.0630  4 Pt 2.39-2.60, 1 Be 2.59
Be 0.3032 0.6968 0.4370  4 Pt 2.39-2.60, 1 Be 2.59
Be 0.6968 0.3032 0.5630  4 Pt 2.39-2.60, 1 Be 2.59
Be 0.6968 0.3032 0.9370  4 Pt 2.39-2.60, 1 Be 2.59
Pt 0.2244 0.7756 0.7500  6 Be 2.40-2.60
Pt 0.4274 0.5726 0.5432  1 Be 2.39
Pt 0.4274 0.5726 0.9568  1 Be 2.39
Pt 0.5726 0.4274 0.0432  1 Be 2.39
Pt 0.5726 0.4274 0.4568  1 Be 2.39
Pt 0.7756 0.2244 0.2500  6 Be 2.40-2.60

Values from the calculation:
- Energy relative to the elements: -78 kJ/mol of atoms
- SG: Cmcm, No. 63

***

A geometry-optimized PaBePt2 structure, computed with GGA-PBE.

Cell: 3.0667 3.0667 6.9199 Å, 90.00 90.00 90.00°
With the nearest neighbours (Å) after each atom.
Atoms (fractional coordinates):
Pa 0.0000 0.0000 0.0000  8 Pt 3.01, 4 Pa 3.07
Be 0.0000 0.0000 0.5000  8 Pt 2.57
Pt 0.5000 0.5000 0.3019  4 Be 2.57, 1 Pt 2.74
Pt 0.5000 0.5000 0.6981  4 Be 2.57, 1 Pt 2.74

Values from the calculation:
- Energy relative to the lowest polymorph listed for this composition: 75.0 kJ/mol of formula units
- Energy relative to the elements: -69 kJ/mol of atoms
- SG: P4/mmm, No. 123

***

A geometry-optimized Pa2BePt structure, computed with GGA-PBE.

Cell: 10.0431 10.0431 10.0431 Å, 17.50 17.50 17.50°
With the nearest neighbours (Å) after each atom.
Atoms (fractional coordinates):
Pa 0.0926 0.0926 0.0926  1 Pt 2.75, 3 Be 2.82, 6 Pa 3.06
Pa 0.9074 0.9074 0.9074  1 Pt 2.75, 3 Be 2.82, 6 Pa 3.06
Be 0.5000 0.5000 0.5000  6 Pa 2.82, 6 Be 3.06
Pt 0.0000 0.0000 0.0000  2 Pa 2.75, 6 Pt 3.06

Values from the calculation:
- Energy relative to the elements: 21 kJ/mol of atoms
- SG: R-3m, No. 166

***

A geometry-optimized PaBe17Pt structure, computed with GGA-PBE.

Cell: 5.7172 5.7172 5.7172 Å, 83.40 83.40 83.40°
With the nearest neighbours (Å) after each atom.
Atoms (fractional coordinates):
Pa 0.0000 0.0000 0.0000  19 Be 2.76-2.90
Be 0.0530 0.3561 0.6330  8 Be 2.11-2.33
Be 0.0530 0.6330 0.3561  8 Be 2.11-2.33
Be 0.2203 0.6862 0.6862  9 Be 2.20-2.30
Be 0.2510 0.2510 0.2510  4 Be 2.14-2.26
Be 0.3330 0.3330 0.8563  10 Be 2.14-2.40
Be 0.3330 0.8563 0.3330  10 Be 2.14-2.40
Be 0.3561 0.0530 0.6330  8 Be 2.11-2.33
Be 0.3561 0.6330 0.0530  8 Be 2.11-2.33
Be 0.4457 0.4457 0.4457  4 Be 2.14-2.25
Be 0.5067 0.9989 0.9989  9 Be 2.17-2.41
Be 0.6330 0.0530 0.3561  8 Be 2.11-2.33
Be 0.6330 0.3561 0.0530  8 Be 2.11-2.33
Be 0.6862 0.2203 0.6862  9 Be 2.20-2.30
Be 0.6862 0.6862 0.2203  9 Be 2.20-2.30
Be 0.8563 0.3330 0.3330  10 Be 2.14-2.40
Be 0.9989 0.5067 0.9989  9 Be 2.17-2.41
Be 0.9989 0.9989 0.5067  9 Be 2.17-2.41
Pt 0.6728 0.6728 0.6728  10 Be 2.49-2.67

Values from the calculation:
- Energy relative to the elements: -5 kJ/mol of atoms
- SG: R3m, No. 160

***

A geometry-optimized Pa2BePt3 structure, computed with GGA-PBE.

Cell: 3.4274 4.3052 7.7860 Å, 90.00 90.00 90.00°
With the nearest neighbours (Å) after each atom.
Atoms (fractional coordinates):
Pa 0.0000 0.0000 0.0000  8 Pt 2.89-3.21, 4 Be 3.08
Pa 0.0000 0.5000 0.4913  8 Pt 2.97-3.20, 2 Be 3.09
Be 0.5000 0.5000 0.8216  3 Pt 2.33-2.35
Pt 0.5000 0.0000 0.3490  3 Pt 2.75-2.79, 4 Pa 2.97
Pt 0.5000 0.0000 0.7017  2 Be 2.35
Pt 0.5000 0.5000 0.1213  1 Be 2.33

Values from the calculation:
- Energy relative to the elements: -84 kJ/mol of atoms
- SG: Pmm2, No. 25

***

energy relative to the elements of number 2 (Pa2Be2Pt3)?
-78 kJ/mol of atoms

***

Number 2 is which compound?
Pa2Be2Pt3

***

Among the records above, which one has the lowest energy relative to the elements?
Pa2BePt3

***

Among the records above, which one has the lowest energy relative to the elements?
Pa2BePt3